The following is a DFT calculation (PBE-GGA) of a geometry-optimized FeCu2Re structure.

## Properties
E: -27.9 eV/f.u.
Formation enthalpy at 0 K: 0.3061 eV per atom

CIF file:
```
data_FeCu2Re
_cell_length_a 2.6443
_cell_length_b 2.6443
_cell_length_c 25.9669
_cell_angle_alpha 90.00
_cell_angle_beta 90.00
_cell_angle_gamma 120.00
_symmetry_space_group_name_H-M 'R -3 m'
_symmetry_Int_Tables_number 166
_symmetry_space_group_name_Hall '-R 3 2"'
loop_
_atom_site_label
_atom_site_type_symbol
_atom_site_fract_x
_atom_site_fract_y
_atom_site_fract_z
_atom_site_occupancy
Fe1 Fe 0.0000 0.0000 0.0000 1
Cu1 Cu 0.0000 0.0000 0.2523 1
Re1 Re 0.0000 0.0000 0.5000 1
```